This record from OQMD via LeMat-Bulk describes SiAg6F12 after structural relaxation. The functional is PBE.

Results
The value obtained for the calculated density is 5.69 Mg/m³. The value obtained for the raw total energy is -75.38 eV for the cell shown. The symmetry is R-3.

Lattice parameters (Å, degrees): 6.492 6.492 6.492 98.56 98.56 98.56
Fractional coordinates of all 19 atoms:
Si 0.000 0.000 0.000
Ag 0.142 0.301 0.593
Ag 0.301 0.593 0.142
Ag 0.407 0.858 0.699
Ag 0.593 0.142 0.301
Ag 0.699 0.407 0.858
Ag 0.858 0.699 0.407
F 0.002 0.954 0.734
F 0.046 0.266 0.998
F 0.167 0.608 0.427
F 0.266 0.998 0.046
F 0.392 0.573 0.833
F 0.427 0.167 0.608
F 0.573 0.833 0.392
F 0.608 0.427 0.167
F 0.734 0.002 0.954
F 0.833 0.392 0.573
F 0.954 0.734 0.002
F 0.998 0.046 0.266

This record from OQMD via LeMat-Bulk describes Si3AgF after structural relaxation. The functional is PBE.

Results
The value obtained for the calculated density is 4.21 Mg/m³. The value obtained for the raw total energy is -18.75 eV for the cell shown. The symmetry is Pm-3m.

Lattice parameters (Å, degrees): 4.368 4.368 4.368 90.00 90.00 90.00
Fractional coordinates of all 5 atoms:
Si 0.000 0.000 0.500
Si 0.000 0.500 0.000
Si 0.500 0.000 0.000
Ag 0.500 0.500 0.500
F 0.000 0.000 0.000

This record from OQMD via LeMat-Bulk describes Ag6SnF12 after structural relaxation. The functional is PBE.

Results
The value obtained for the calculated density is 5.93 Mg/m³. The value obtained for the raw total energy is -70.76 eV for the cell shown. The symmetry is R-3.

Lattice parameters (Å, degrees): 6.607 6.607 6.607 98.34 98.34 98.34
Fractional coordinates of all 19 atoms:
Ag 0.102 0.816 0.645
Ag 0.184 0.355 0.898
Ag 0.355 0.898 0.184
Ag 0.645 0.102 0.816
Ag 0.816 0.645 0.102
Ag 0.898 0.184 0.355
Sn 0.500 0.500 0.500
F 0.083 0.894 0.332
F 0.106 0.668 0.917
F 0.199 0.438 0.517
F 0.332 0.083 0.894
F 0.438 0.517 0.199
F 0.483 0.801 0.562
F 0.517 0.199 0.438
F 0.562 0.483 0.801
F 0.668 0.917 0.106
F 0.801 0.562 0.483
F 0.894 0.332 0.083
F 0.917 0.106 0.668

This record from OQMD via LeMat-Bulk describes Tb3Ag3F2 after structural relaxation. The functional is PBE.

Results
The total magnetic moment comes out at 0.65 μB/f.u. The value obtained for the calculated density is 6.67 Mg/m³. The value obtained for the raw total energy is -33.25 eV for the cell shown. The symmetry is P-4m2.

Lattice parameters (Å, degrees): 4.065 4.065 12.624 90.00 90.00 90.00
Fractional coordinates of all 8 atoms:
Tb 0.000 0.000 0.000
Tb 0.000 0.000 0.262
Tb 0.000 0.000 0.738
Ag 0.000 0.000 0.500
Ag 0.500 0.500 0.000
Ag 0.500 0.500 0.500
F 0.000 0.500 0.695
F 0.500 0.000 0.305

This record from OQMD via LeMat-Bulk describes TcAg2F6 after structural relaxation. The functional is PBE.

Results
The total magnetic moment comes out at 3.00 μB/f.u. The value obtained for the calculated density is 5.23 Mg/m³. The value obtained for the raw total energy is -84.06 eV for the cell shown. The symmetry is P4_2/mnm.

Lattice parameters (Å, degrees): 5.085 5.085 10.505 90.00 90.00 90.00
Fractional coordinates of all 18 atoms:
Tc 0.000 0.000 0.000
Tc 0.500 0.500 0.500
Ag 0.000 0.000 0.334
Ag 0.000 0.000 0.666
Ag 0.500 0.500 0.166
Ag 0.500 0.500 0.834
F 0.182 0.182 0.139
F 0.182 0.182 0.861
F 0.228 0.228 0.500
F 0.272 0.728 0.000
F 0.318 0.682 0.361
F 0.318 0.682 0.639
F 0.682 0.318 0.361
F 0.682 0.318 0.639
F 0.728 0.272 0.000
F 0.772 0.772 0.500
F 0.818 0.818 0.139
F 0.818 0.818 0.861

This record from OQMD via LeMat-Bulk describes TcAgF6 after structural relaxation. The functional is PBE.

Results
The total magnetic moment comes out at 2.00 μB/f.u. The value obtained for the calculated density is 5.25 Mg/m³. The value obtained for the raw total energy is -38.43 eV for the cell shown. The symmetry is C2/m.

Lattice parameters (Å, degrees): 4.681 4.681 4.904 103.99 103.99 85.33
Fractional coordinates of all 8 atoms:
Tc 0.000 0.000 0.000
Ag 0.500 0.500 0.500
F 0.118 0.706 0.704
F 0.273 0.273 0.985
F 0.294 0.882 0.296
F 0.706 0.118 0.704
F 0.727 0.727 0.015
F 0.882 0.294 0.296